1.
Crystalline Er3ZnS2 at its relaxed geometry, computed with GGA-PBE.

a = 5.591 Å, b = 6.961 Å, c = 7.652 Å
α = 105.95°, β = 90.00°, γ = 113.68°
Atoms (fractional coordinates):
Er  0.500  0.000  0.750
Er  0.500  0.000  0.250
Er  0.825  0.651  0.913
Er  0.174  0.349  0.587
Er  0.826  0.651  0.413
Er  0.175  0.349  0.087
Zn  0.000  0.000  0.250
Zn  0.000  0.000  0.750
S  0.335  0.669  0.417
S  0.334  0.669  0.917
S  0.666  0.331  0.083
S  0.665  0.331  0.583

Total energy (eV per atom): -5.26
Density of states at the Fermi level (states/eV per cell): 6.2
Space group: No. 71
V (Å³ per atom): 21.7

=====

2.
Crystalline SrTl2Ru at its relaxed geometry, computed with GGA-PBE.

a = 7.684 Å, b = 7.684 Å, c = 7.684 Å
α = 154.63°, β = 146.02°, γ = 42.88°
Atoms (fractional coordinates):
Ru  0.508  0.508  0.000
Sr  0.320  0.820  0.500
Tl  0.002  0.002  0.000
Tl  0.670  0.170  0.500

Total energy (eV per atom): -3.75
Density of states at the Fermi level (states/eV per cell): 3.4
Space group: No. 44
ΔE_f (meV/atom): 173
V (Å³ per atom): 27.1

=====

3.
Crystalline HfBe3S at its relaxed geometry, computed with GGA-PBE.

a = 4.098 Å, b = 4.098 Å, c = 4.098 Å
α = 90.00°, β = 90.00°, γ = 90.00°
Atoms (fractional coordinates):
Be  0.000  0.500  0.000
Be  0.000  0.000  0.500
Be  0.500  0.000  0.000
S  0.000  0.000  0.000
Hf  0.500  0.500  0.500

Total energy (eV per atom): -4.43
Excess energy over the best structure of this formula in the dataset (eV/atom): 0.0000
Density of states at the Fermi level (states/eV per cell): 4.1
Space group: No. 221
V (Å³ per atom): 13.8

=====

4.
Crystalline Rb2CdRuAu at its relaxed geometry, computed with GGA-PBE.

a = 6.380 Å, b = 5.131 Å, c = 6.380 Å
α = 90.00°, β = 90.00°, γ = 90.00°
Each line ends with the local moment (μB).
Atoms (fractional coordinates):
Ru  0.000  0.000  0.000  1.78
Au  0.000  0.500  0.000  0.14
Rb  0.000  0.000  0.500  0.00
Rb  0.500  0.000  0.000  0.01
Cd  0.500  0.500  0.500  -0.02

Total energy (eV per atom): -2.35
Density of states at the Fermi level (states/eV per cell): 3.9
Space group: No. 123
ΔE_f (meV/atom): 726
V (Å³ per atom): 41.8

=====

5.
Crystalline VMo2Pt2 at its relaxed geometry, computed with GGA-PBE.

a = 2.701 Å, b = 4.339 Å, c = 6.868 Å
α = 108.39°, β = 90.00°, γ = 90.00°
Atoms (fractional coordinates):
V  0.000  0.000  0.000
Mo  0.000  0.198  0.395
Mo  0.000  0.802  0.605
Pt  0.500  0.605  0.209
Pt  0.500  0.395  0.791

Total energy (eV per atom): -8.73
Density of states at the Fermi level (states/eV per cell): 4.1
Space group: No. 65
ΔE_f (meV/atom): -160
V (Å³ per atom): 15.3

=====

6.
Crystalline Ho8Pd2Rh at its relaxed geometry, computed with GGA-PBE.

a = 5.058 Å, b = 6.693 Å, c = 8.974 Å
α = 104.61°, β = 106.37°, γ = 90.00°
Atoms (fractional coordinates):
Ho  0.410  0.557  0.820
Ho  0.664  0.975  0.329
Ho  0.797  0.680  0.595
Ho  0.968  0.212  0.936
Ho  0.203  0.320  0.405
Ho  0.336  0.025  0.671
Ho  0.590  0.443  0.180
Ho  0.032  0.788  0.064
Pd  0.811  0.275  0.623
Pd  0.189  0.725  0.377
Rh  0.500  0.000  0.000

Total energy (eV per atom): -5.44
Excess energy over the best structure of this formula in the dataset (eV/atom): 0.0000
Density of states at the Fermi level (states/eV per cell): 12.4
Space group: No. 12
ΔE_f (meV/atom): -496
V (Å³ per atom): 25.6

=====

7.
Crystalline KEu2Ni at its relaxed geometry, computed with GGA-PBE.

a = 4.136 Å, b = 4.136 Å, c = 11.575 Å
α = 79.71°, β = 79.71°, γ = 60.00°
Each line ends with the local moment (μB).
Atoms (fractional coordinates):
Eu  0.121  0.121  0.637  6.88
Eu  0.879  0.879  0.363  6.88
Ni  0.500  0.500  0.500  -0.20
K  0.000  0.000  0.000  0.00

Total energy (eV per atom): -6.81
Density of states at the Fermi level (states/eV per cell): 23.0
Space group: No. 166
ΔE_f (meV/atom): 42
V (Å³ per atom): 41.9

=====

8.
Crystalline BeMo2Br at its relaxed geometry, computed with GGA-PBE.

a = 6.941 Å, b = 6.941 Å, c = 6.941 Å
α = 27.54°, β = 27.54°, γ = 27.54°
Atoms (fractional coordinates):
Be  0.250  0.250  0.250
Mo  0.974  0.974  0.974
Mo  0.526  0.526  0.526
Br  0.750  0.750  0.750

Total energy (eV per atom): -6.34
Excess energy over the best structure of this formula in the dataset (eV/atom): 0.1142
Density of states at the Fermi level (states/eV per cell): 2.2
Space group: No. 166
V (Å³ per atom): 15.8

=====

Number 1: total magnetization 0.0000 μB per atom. Number 2: total magnetization 0.0000 μB per atom. Number 3: total magnetization 0.0000 μB per atom. Number 4: total magnetization 0.3766 μB per atom. Number 5: total magnetization 0.0000 μB per atom. Number 6: total magnetization 0.0000 μB per atom. Number 7: total magnetization 3.5735 μB per atom. Number 8: total magnetization 0.0000 μB per atom.